5
Lattice="5.213 0.000 0.000 0.000 5.213 0.000 0.000 0.000 4.798" Properties=species:S:1:pos:R:3 comment="KLiN2F (PBE, optimized geometry)" e_form_raw_ev_per_atom=0.9853 energy_ev_per_atom=-3.321 relative_energy_mev_per_atom=572 pbc="T T T"
K 0.000 0.000 0.000
Li 2.607 2.607 2.399
N 0.000 2.607 0.000
N 2.607 0.000 0.000
F 0.000 0.000 2.399